# 1
The following is a DFT calculation (GGA-PBE) of an optimized crystal structure of TaTcW2.

```
16
Lattice="6.371 0.000 0.000 0.000 6.371 0.000 0.000 0.000 6.371" Properties=species:S:1:pos:R:3 pbc="T T T"
Ta 0.000 0.000 0.000
Ta 0.000 3.186 3.186
Ta 3.186 0.000 3.186
Ta 3.186 3.186 0.000
Tc 0.000 0.000 3.186
Tc 0.000 3.186 0.000
Tc 3.186 0.000 0.000
Tc 3.186 3.186 3.186
W 1.593 1.593 1.593
W 1.593 1.593 4.778
W 1.593 4.778 1.593
W 1.593 4.778 4.778
W 4.778 1.593 1.593
W 4.778 1.593 4.778
W 4.778 4.778 1.593
W 4.778 4.778 4.778
```

E above lowest polymorph: 126 meV/atom
E_tot: -193.01 eV for the cell shown
Calculated formation energy: -0.032 eV per atom
Magnetic moment: 0.00 μB/cell



# 2
The following is a DFT calculation (GGA-PBE) of an optimized crystal structure of MgFe2W2.

```
10
Lattice="4.104 0.000 0.000 0.000 4.104 0.000 0.000 0.000 9.502" Properties=species:S:1:pos:R:3 pbc="T T T"
Mg 0.000 0.000 0.000
Mg 2.052 2.052 4.751
Fe 0.000 0.000 3.639
Fe 0.000 0.000 5.863
Fe 2.052 2.052 1.112
Fe 2.052 2.052 8.390
W 0.000 2.052 2.375
W 0.000 2.052 7.126
W 2.052 0.000 2.375
W 2.052 0.000 7.126
```

E above lowest polymorph: 57 meV/atom
E_tot: -85.96 eV for the cell shown
Calculated formation energy: 0.289 eV per atom
Magnetic moment: 0.00 μB/cell



# 3
The following is a DFT calculation (GGA-PBE) of an optimized crystal structure of AsIrSe.

```
12
Lattice="6.625 0.000 0.000 0.000 4.825 0.000 -0.007 0.000 7.114" Properties=species:S:1:pos:R:3 pbc="T T T"
As 0.380 1.040 2.893
As 0.377 1.373 6.450
As 6.242 3.452 0.664
As 6.238 3.786 4.221
Ir 1.648 0.006 1.007
Ir 1.644 2.407 4.564
Ir 4.974 2.419 2.550
Ir 4.970 4.820 6.107
Se 2.872 3.471 6.441
Se 2.875 3.767 2.884
Se 3.743 1.058 4.230
Se 3.746 1.354 0.673
```

E_tot: -72.56 eV for the cell shown
Formation energy from raw total energies: -0.38 eV per atom
Magnetic moment: 0.00 μB/cell



# 4
The following is a DFT calculation (GGA-PBE) of an optimized crystal structure of KCoS2.

```
16
Lattice="6.987 0.000 0.000 0.000 11.111 0.000 -1.922 0.000 4.817" Properties=species:S:1:pos:R:3 pbc="T T T"
K -0.481 1.557 1.204
K -1.442 9.554 3.613
K 2.052 3.999 3.613
K 3.013 7.112 1.204
Co -0.481 5.554 1.204
Co -1.442 5.558 3.613
Co 3.013 11.109 1.204
Co 2.052 0.002 3.613
S 1.133 4.350 0.448
S 0.172 6.761 2.857
S 0.438 1.206 4.368
S 1.399 9.905 1.960
S 3.665 1.206 2.857
S 4.627 9.905 0.448
S 4.893 4.350 1.960
S 3.932 6.761 4.368
```

E_tot: -76.64 eV for the cell shown
Formation energy from raw total energies: -0.68 eV per atom
Magnetic moment: 2.05 μB/cell



# 5
The following is a DFT calculation (GGA-PBE) of an optimized crystal structure of Tl5AsBr8.

```
14
Lattice="-4.769 4.769 6.797 4.769 -4.769 6.797 4.769 4.769 -6.797" Properties=species:S:1:pos:R:3 pbc="T T T"
Tl 0.000 0.000 0.000
Tl 2.450 -0.010 5.040
Tl 2.319 4.780 -1.757
Tl 4.759 2.319 1.757
Tl 0.010 2.450 8.554
As 0.000 4.769 3.398
Br 4.760 2.066 -1.922
Br 4.777 -2.144 4.907
Br 2.626 -0.008 1.890
Br 6.913 0.008 1.890
Br 4.761 2.144 4.907
Br 2.703 -0.010 8.719
Br 2.066 4.779 1.922
Br 0.010 2.703 4.875
```

E_tot: -39.64 eV for the cell shown
Formation energy from raw total energies: -0.70 eV per atom
Magnetic moment: 0.00 μB/cell



# 6
The following is a DFT calculation (GGA-PBE) of an optimized crystal structure of SmPu4Sc.

```
6
Lattice="0.000 4.318 4.318 4.318 0.000 4.318 4.318 4.318 0.000" Properties=species:S:1:pos:R:3 pbc="T T T"
Sm 0.000 0.000 0.000
Pu 5.393 3.243 3.243
Pu 3.243 5.393 3.243
Pu 3.243 3.243 5.393
Pu 5.393 5.393 5.393
Sc 2.159 2.159 2.159
```

E_tot: -66.76 eV for the cell shown
Calculated formation energy: 0.270 eV per atom
Magnetic moment: 22.45 μB/cell



Question: What is the formula in the sixth record?
Answer: SmPu4Sc



Question: Number 1 is which compound?
Answer: TaTcW2